Rb2CuH4C4O10 | the Alexandria database | GGA-PBEsol | optimized geometry; spin magnetization = 1.00 μB per formula unit; calculated total energy = -272.8 eV for the cell shown; theoretical density = 2.78 g cm⁻³
1.0
-5.621 4.166 -0.477
-0.359 -5.054 -8.031
-3.176 -5.044 6.438
Rb Cu H C O
4 2 8 8 20
Direct
0.615 0.858 0.833 Rb
0.385 0.142 0.167 Rb
0.741 0.484 0.875 Rb
0.259 0.516 0.125 Rb
0.000 0.000 0.500 Cu
0.500 0.500 0.500 Cu
0.488 0.197 0.564 H
0.512 0.803 0.436 H
0.711 0.250 0.522 H
0.289 0.750 0.478 H
0.136 0.855 0.925 H
0.864 0.145 0.075 H
0.158 0.836 0.743 H
0.842 0.164 0.257 H
0.945 0.863 0.176 C
0.055 0.137 0.824 C
0.737 0.826 0.221 C
0.263 0.174 0.779 C
0.793 0.550 0.325 C
0.207 0.450 0.675 C
0.882 0.648 0.505 C
0.118 0.352 0.495 C
0.088 0.949 0.293 O
0.912 0.051 0.707 O
0.962 0.807 0.031 O
0.038 0.193 0.969 O
0.735 0.884 0.374 O
0.265 0.116 0.626 O
0.590 0.744 0.115 O
0.410 0.256 0.885 O
0.609 0.472 0.301 O
0.391 0.528 0.699 O
0.895 0.552 0.218 O
0.105 0.448 0.782 O
0.769 0.630 0.607 O
0.231 0.370 0.393 O
0.053 0.739 0.542 O
0.947 0.261 0.458 O
0.578 0.268 0.523 O
0.422 0.732 0.477 O
0.228 0.893 0.858 O
0.772 0.107 0.142 O